# 1
Here is a relaxed structure of Mg4Cd3Ga2 from Alexandria. Energies are from GGA-PBE.

It has space group P-1 (No. 2), with a = 4.3204 Å, b = 5.2490 Å, c = 9.3532 Å, α = 74.72°, β = 89.72° and γ = 66.97°. The inequivalent atoms are Mg at (0.0065, 0.4830, 0.3280), Mg at (0.3310, 0.8353, 0.1120), Cd at (0.0000, 0.5000, 0.0000), Cd at (0.3367, 0.8249, 0.4424) and Ga at (0.3309, 0.8460, 0.7811).

For the total moment, the calculation gives 0.000 Bohr magnetons per cell. The calculated volume comes out at 20.79 Å³/atom. The raw total energy is -15.96 eV for the cell shown. As for the density of states at the Fermi level: 0.261 states/eV per atom.

# 2
Here is a relaxed structure of CeSm3Y8 from Alexandria. Energies are from GGA-PBE.

It has space group I-42m (No. 121), with a = 8.7157 Å, b = 8.7157 Å, c = 11.4201 Å, α = 90.00°, β = 90.00° and γ = 90.00°. The inequivalent atoms are Ce at (0.0000, 0.0000, 0.0000), Sm at (0.0000, 0.0000, 0.5000), Sm at (0.0000, 0.5000, 0.2500), Y at (0.1250, 0.1250, 0.2372) and Y at (0.2324, 0.2324, 0.9714).

For the total moment, the calculation gives 0.000 Bohr magnetons per cell. The calculated volume comes out at 36.15 Å³/atom. The raw total energy is -128.73 eV for the cell shown. As for the density of states at the Fermi level: 1.742 states/eV per atom.

# 3
Here is a relaxed structure of Y3P from Alexandria. Energies are from GGA-PBE.

It has space group I4/mmm (No. 139), with a = 4.4190 Å, b = 4.4190 Å, c = 10.3075 Å, α = 90.00°, β = 90.00° and γ = 90.00°. The inequivalent atoms are Y at (0.0000, 0.0000, 0.0000), Y at (0.0000, 0.5000, 0.2500) and P at (0.0000, 0.0000, 0.5000).

For the total moment, the calculation gives 0.000 Bohr magnetons per cell. The calculated volume comes out at 25.16 Å³/atom. The raw total energy is -52.09 eV for the cell shown. As for the density of states at the Fermi level: 0.998 states/eV per atom. As for the energy above the most stable polymorph in this dataset: 394.5 meV per atom.

# 4
Here is a relaxed structure of SrSn2Os from Alexandria. Energies are from GGA-PBE.

It has space group Fm-3m (No. 225), with a = 7.0537 Å, b = 7.0537 Å, c = 7.0537 Å, α = 90.00°, β = 90.00° and γ = 90.00°. The inequivalent atoms are Sr at (0.0000, 0.0000, 0.0000), Sn at (0.2500, 0.2500, 0.2500) and Os at (0.0000, 0.0000, 0.5000).

For the total moment, the calculation gives 0.000 Bohr magnetons per cell. The calculated volume comes out at 21.93 Å³/atom. The raw total energy is -81.04 eV for the cell shown. As for the density of states at the Fermi level: 0.497 states/eV per atom.

# 5
Here is a relaxed structure of AlZn2Rh2 from Alexandria. Energies are from GGA-PBE.

It has space group P4/mbm (No. 127), with a = 6.9415 Å, b = 6.9415 Å, c = 3.0046 Å, α = 90.00°, β = 90.00° and γ = 90.00°. The inequivalent atoms are Al at (0.0000, 0.0000, 0.0000), Zn at (0.1241, 0.3759, 0.0000) and Rh at (0.1758, 0.6758, 0.5000).

For the total moment, the calculation gives 0.000 Bohr magnetons per cell. The calculated volume comes out at 14.48 Å³/atom. The raw total energy is -45.62 eV for the cell shown. As for the density of states at the Fermi level: 0.492 states/eV per atom. As for the energy above the most stable polymorph in this dataset: 126.4 meV per atom.

# 6
Here is a relaxed structure of MgTcMo4 from Alexandria. Energies are from GGA-PBE.

It has space group F-43m (No. 216), with a = 7.3761 Å, b = 7.3761 Å, c = 7.3761 Å, α = 90.00°, β = 90.00° and γ = 90.00°. The inequivalent atoms are Mg at (0.0000, 0.0000, 0.0000), Tc at (0.2500, 0.2500, 0.2500) and Mo at (0.1251, 0.1251, 0.6251).

For the total moment, the calculation gives 0.000 Bohr magnetons per cell. The calculated volume comes out at 16.72 Å³/atom. The raw total energy is -214.23 eV for the cell shown. As for the density of states at the Fermi level: 0.753 states/eV per atom.

# 7
Here is a relaxed structure of LiAg2F4 from Alexandria. Energies are from GGA-PBE.

It has space group P2_1/m (No. 11), with a = 3.3687 Å, b = 10.7839 Å, c = 5.5595 Å, α = 90.00°, β = 93.54° and γ = 90.00°. The inequivalent atoms are Li at (0.1584, 0.2500, 0.2960), Ag at (0.3520, 0.5812, 0.2319), F at (0.0000, 0.0000, 0.5000), F at (0.2454, 0.1189, 0.0623) and F at (0.3482, 0.7500, 0.4956).

For the total moment, the calculation gives 1.963 Bohr magnetons per cell. The calculated volume comes out at 14.40 Å³/atom. The raw total energy is -52.30 eV for the cell shown. As for the density of states at the Fermi level: 0.237 states/eV per atom. The calculation puts the raw formation energy at -11.05 eV per formula unit. As for the energy above the most stable polymorph in this dataset: 19.1 meV per atom.

# 8
Here is a relaxed structure of Y5Ga3 from Alexandria. Energies are from GGA-PBE.

It has space group P6_3/mcm (No. 193), with a = 8.6268 Å, b = 8.6268 Å, c = 6.5653 Å, α = 90.00°, β = 90.00° and γ = 120.00°. The inequivalent atoms are Y at (0.0000, 0.2440, 0.2500), Y at (0.3333, 0.6667, 0.0000) and Ga at (0.0000, 0.4013, 0.7500).

For the total moment, the calculation gives 0.001 Bohr magnetons per cell. The calculated volume comes out at 26.45 Å³/atom. The raw total energy is -90.95 eV for the cell shown. As for the density of states at the Fermi level: 1.638 states/eV per atom. As for the energy above the most stable polymorph in this dataset: 22.2 meV per atom.

# 9
Here is a relaxed structure of Na3ZnSb3 from Alexandria. Energies are from GGA-PBE.

It has space group C2/m (No. 12), with a = 8.7635 Å, b = 15.3993 Å, c = 6.6126 Å, α = 90.00°, β = 104.45° and γ = 90.00°. The inequivalent atoms are Na at (0.0000, 0.1578, 0.0000), Na at (0.0000, 0.2255, 0.5000), Na at (0.1228, 0.5000, 0.7999), Zn at (0.2306, 0.5000, 0.3049), Sb at (0.0570, 0.0000, 0.3142) and Sb at (0.1404, 0.3430, 0.1686).

For the total moment, the calculation gives 0.000 Bohr magnetons per cell. The calculated volume comes out at 30.86 Å³/atom. The raw total energy is -75.94 eV for the cell shown. As for the density of states at the Fermi level: 0.389 states/eV per atom. The calculation puts the raw formation energy at -1.39 eV per formula unit. As for the energy above the most stable polymorph in this dataset: 94.6 meV per atom.

# 10
Here is a relaxed structure of BaCdAu from Alexandria. Energies are from GGA-PBE.

It has space group F-43m (No. 216), with a = 7.4634 Å, b = 7.4634 Å, c = 7.4634 Å, α = 90.00°, β = 90.00° and γ = 90.00°. The inequivalent atoms are Ba at (0.0000, 0.0000, 0.0000), Cd at (0.0000, 0.0000, 0.5000) and Au at (0.2500, 0.2500, 0.2500).

For the total moment, the calculation gives 0.000 Bohr magnetons per cell. The calculated volume comes out at 34.64 Å³/atom. The raw total energy is -29.95 eV for the cell shown. As for the density of states at the Fermi level: 0.763 states/eV per atom.

The highest raw total energy belongs to which entry? Mg4Cd3Ga2

Among the records above, which one has the lowest raw total energy? MgTcMo4

Which of these has the highest calculated volume? CeSm3Y8